Record 1
! MnTcAu2, relaxed, DFT PBE; values from VASP
! Energy (eV for the cell shown): -25.567
! Space group: No. 99
&SYSTEM
  ibrav = 0, nat = 4, ntyp = 3
/
ATOMIC_SPECIES
Au 196.97 Au.upf
Mn 54.94 Mn.upf
Tc 98.00 Tc.upf
ATOMIC_POSITIONS crystal
Au 0.000 0.000 0.987
Au 0.500 0.500 0.272
Mn 0.000 0.000 0.520
Tc 0.500 0.500 0.721
CELL_PARAMETERS angstrom
-2.651 -1.000 -0.173
0.996 -2.657 0.094
-0.545 0.075 7.899

Record 2
! MnTc2Au, relaxed, DFT PBE; values from VASP
! Energy (eV for the cell shown): -32.508
! Space group: No. 160
&SYSTEM
  ibrav = 0, nat = 4, ntyp = 3
/
ATOMIC_SPECIES
Au 196.97 Au.upf
Mn 54.94 Mn.upf
Tc 98.00 Tc.upf
ATOMIC_POSITIONS crystal
Au 0.498 0.498 0.498
Mn 0.747 0.747 0.747
Tc 0.999 0.999 0.999
Tc 0.256 0.256 0.256
CELL_PARAMETERS angstrom
9.176 -0.022 -0.013
8.753 2.752 -0.013
8.753 1.333 2.408

Record 3
! MnTc2Au, relaxed, DFT PBE; values from VASP
! Energy (eV for the cell shown): -32.311
! Space group: No. 10
&SYSTEM
  ibrav = 0, nat = 4, ntyp = 3
/
ATOMIC_SPECIES
Au 196.97 Au.upf
Mn 54.94 Mn.upf
Tc 98.00 Tc.upf
ATOMIC_POSITIONS crystal
Au 0.500 0.250 0.250
Mn 0.500 0.750 0.750
Tc 0.000 0.040 0.962
Tc 0.000 0.460 0.538
CELL_PARAMETERS angstrom
-0.726 -2.425 -2.817
0.070 -2.096 1.786
-5.400 -1.522 2.701

Record 4
! MnTcAu2, relaxed, DFT PBE; values from VASP
! Energy (eV for the cell shown): -25.017
! Space group: No. 139
&SYSTEM
  ibrav = 0, nat = 4, ntyp = 3
/
ATOMIC_SPECIES
Au 196.97 Au.upf
Mn 54.94 Mn.upf
Tc 98.00 Tc.upf
ATOMIC_POSITIONS crystal
Au 0.000 0.000 0.000
Au 0.500 0.500 0.000
Mn 0.750 0.250 0.500
Tc 0.250 0.750 0.500
CELL_PARAMETERS angstrom
-0.484 4.509 -1.888
-3.771 2.257 2.195
3.899 -2.360 1.834

Record 5
! MnTc2Au, relaxed, DFT PBE; values from VASP
! Energy (eV for the cell shown): -32.079
! Space group: No. 139
&SYSTEM
  ibrav = 0, nat = 4, ntyp = 3
/
ATOMIC_SPECIES
Au 196.97 Au.upf
Mn 54.94 Mn.upf
Tc 98.00 Tc.upf
ATOMIC_POSITIONS crystal
Au 0.250 0.750 0.500
Mn 0.750 0.250 0.500
Tc 0.000 0.000 0.000
Tc 0.500 0.500 0.000
CELL_PARAMETERS angstrom
4.907 0.101 0.000
1.868 4.539 0.000
-3.388 -2.320 2.689

Record 6
! MnTc2Au, relaxed, DFT PBE; values from VASP
! Energy (eV for the cell shown): -61.739
! Space group: No. 122
&SYSTEM
  ibrav = 0, nat = 8, ntyp = 3
/
ATOMIC_SPECIES
Mn 54.94 Mn.upf
Au 196.97 Au.upf
Tc 98.00 Tc.upf
ATOMIC_POSITIONS crystal
Mn 0.500 0.500 0.000
Mn 0.250 0.750 0.500
Au 0.000 0.000 0.000
Au 0.750 0.250 0.500
Tc 0.582 0.125 0.250
Tc 0.168 0.625 0.250
Tc 0.375 0.418 0.750
Tc 0.875 0.832 0.750
CELL_PARAMETERS angstrom
3.716 0.000 0.000
0.000 3.716 0.000
1.858 1.858 9.613

Record 7
! MnTcAu2, relaxed, DFT PBE; values from VASP
! Energy (eV for the cell shown): -25.224
! Space group: No. 160
&SYSTEM
  ibrav = 0, nat = 4, ntyp = 3
/
ATOMIC_SPECIES
Au 196.97 Au.upf
Mn 54.94 Mn.upf
Tc 98.00 Tc.upf
ATOMIC_POSITIONS crystal
Au 0.004 0.004 0.004
Au 0.243 0.243 0.243
Mn 0.494 0.494 0.494
Tc 0.760 0.760 0.760
CELL_PARAMETERS angstrom
-7.354 -1.502 5.903
-8.553 -2.325 3.553
-7.017 -4.097 5.015

Record 8
! MnTc2Au, relaxed, DFT PBE; values from VASP
! Energy (eV for the cell shown): -30.746
! Space group: No. 225
&SYSTEM
  ibrav = 0, nat = 4, ntyp = 3
/
ATOMIC_SPECIES
Mn 54.94 Mn.upf
Au 196.97 Au.upf
Tc 98.00 Tc.upf
ATOMIC_POSITIONS crystal
Mn 0.000 0.000 0.000
Au 0.500 0.500 0.500
Tc 0.250 0.250 0.250
Tc 0.750 0.750 0.750
CELL_PARAMETERS angstrom
0.000 3.084 3.084
3.084 0.000 3.084
3.084 3.084 0.000

Record 9
! MnTc2Au, relaxed, DFT PBE; values from VASP
! Energy (eV for the cell shown): -31.717
! Space group: No. 216
&SYSTEM
  ibrav = 0, nat = 4, ntyp = 3
/
ATOMIC_SPECIES
Au 196.97 Au.upf
Mn 54.94 Mn.upf
Tc 98.00 Tc.upf
ATOMIC_POSITIONS crystal
Au 0.500 0.500 0.500
Mn 0.750 0.750 0.750
Tc 0.000 0.000 0.000
Tc 0.250 0.250 0.250
CELL_PARAMETERS angstrom
4.427 0.000 0.000
2.214 3.834 0.000
2.214 1.278 3.615

Record 10
! MnTc2Au, relaxed, DFT PBE; values from VASP
! Energy (eV for the cell shown): -32.436
! Space group: No. 119
&SYSTEM
  ibrav = 0, nat = 4, ntyp = 3
/
ATOMIC_SPECIES
Au 196.97 Au.upf
Mn 54.94 Mn.upf
Tc 98.00 Tc.upf
ATOMIC_POSITIONS crystal
Au 0.500 0.500 0.000
Mn 0.250 0.750 0.500
Tc 0.000 0.000 0.000
Tc 0.750 0.250 0.500
CELL_PARAMETERS angstrom
-1.814 -0.747 4.317
3.575 -0.087 3.115
-1.135 3.161 -3.348

Record 11
! MnTc2Au, relaxed, DFT PBE; values from VASP
! Energy (eV for the cell shown): -31.946
! Space group: No. 65
&SYSTEM
  ibrav = 0, nat = 4, ntyp = 3
/
ATOMIC_SPECIES
Au 196.97 Au.upf
Mn 54.94 Mn.upf
Tc 98.00 Tc.upf
ATOMIC_POSITIONS crystal
Au 0.500 0.000 0.500
Mn 0.000 0.500 0.500
Tc 0.000 0.000 0.000
Tc 0.500 0.500 0.000
CELL_PARAMETERS angstrom
4.831 -0.044 0.000
-1.772 4.495 0.000
0.000 0.000 2.763

Record 12
! MnTc2Au, relaxed, DFT PBE; values from VASP
! Energy (eV for the cell shown): -32.169
! Space group: No. 12
&SYSTEM
  ibrav = 0, nat = 4, ntyp = 3
/
ATOMIC_SPECIES
Au 196.97 Au.upf
Mn 54.94 Mn.upf
Tc 98.00 Tc.upf
ATOMIC_POSITIONS crystal
Au 0.250 0.250 0.250
Mn 0.750 0.750 0.750
Tc 0.008 0.008 0.981
Tc 0.492 0.492 0.519
CELL_PARAMETERS angstrom
4.796 -0.006 -0.015
3.979 2.678 -0.015
0.915 0.279 4.613

Record 13
! MnTcAu2, relaxed, DFT PBE; values from VASP
! Energy (eV for the cell shown): -25.097
! Space group: No. 65
&SYSTEM
  ibrav = 0, nat = 4, ntyp = 3
/
ATOMIC_SPECIES
Au 196.97 Au.upf
Mn 54.94 Mn.upf
Tc 98.00 Tc.upf
ATOMIC_POSITIONS crystal
Au 0.000 0.000 0.000
Au 0.500 0.500 0.000
Mn 0.500 0.000 0.500
Tc 0.000 0.500 0.500
CELL_PARAMETERS angstrom
5.008 -0.017 0.004
-1.723 4.702 0.004
-0.003 -0.004 2.750

Record 14
! MnTc2Au, relaxed, DFT PBE; values from VASP
! Energy (eV for the cell shown): -32.353
! Space group: No. 123
&SYSTEM
  ibrav = 0, nat = 4, ntyp = 3
/
ATOMIC_SPECIES
Au 196.97 Au.upf
Mn 54.94 Mn.upf
Tc 98.00 Tc.upf
ATOMIC_POSITIONS crystal
Au 0.500 0.500 0.250
Mn 0.500 0.500 0.750
Tc 0.000 0.000 0.967
Tc 0.000 0.000 0.533
CELL_PARAMETERS angstrom
2.702 0.112 0.000
-0.112 2.702 0.000
0.000 0.000 7.870

Record 15
! MnTcAu2, relaxed, DFT PBE; values from VASP
! Energy (eV for the cell shown): -44.462
! Space group: No. 122
&SYSTEM
  ibrav = 0, nat = 8, ntyp = 3
/
ATOMIC_SPECIES
Mn 54.94 Mn.upf
Au 196.97 Au.upf
Tc 98.00 Tc.upf
ATOMIC_POSITIONS crystal
Mn 0.500 0.500 0.000
Mn 0.250 0.750 0.500
Au 0.603 0.125 0.250
Au 0.147 0.625 0.250
Au 0.375 0.397 0.750
Au 0.875 0.853 0.750
Tc 0.000 0.000 0.000
Tc 0.750 0.250 0.500
CELL_PARAMETERS angstrom
7.261 0.000 0.000
0.000 7.261 0.000
3.631 3.631 2.590

Record 16
! MnTcAu2, relaxed, DFT PBE; values from VASP
! Energy (eV for the cell shown): -25.154
! Space group: No. 8
&SYSTEM
  ibrav = 0, nat = 4, ntyp = 3
/
ATOMIC_SPECIES
Au 196.97 Au.upf
Mn 54.94 Mn.upf
Tc 98.00 Tc.upf
ATOMIC_POSITIONS crystal
Au 0.995 0.995 0.008
Au 0.758 0.758 0.742
Mn 0.510 0.510 0.485
Tc 0.237 0.237 0.264
CELL_PARAMETERS angstrom
4.874 -0.003 0.000
4.030 2.742 0.000
0.990 0.304 4.818

Record 17
! MnTcAu2, relaxed, DFT PBE; values from VASP
! Energy (eV for the cell shown): -25.125
! Space group: No. 119
&SYSTEM
  ibrav = 0, nat = 4, ntyp = 3
/
ATOMIC_SPECIES
Au 196.97 Au.upf
Mn 54.94 Mn.upf
Tc 98.00 Tc.upf
ATOMIC_POSITIONS crystal
Au 0.000 0.000 0.000
Au 0.250 0.750 0.500
Mn 0.500 0.500 0.000
Tc 0.750 0.250 0.500
CELL_PARAMETERS angstrom
4.861 -0.073 0.000
1.546 4.609 0.000
-3.203 -2.268 2.868

Record 18
! MnTc2Au, relaxed, DFT PBE; values from VASP
! Energy (eV for the cell shown): -32.609
! Space group: No. 99
&SYSTEM
  ibrav = 0, nat = 4, ntyp = 3
/
ATOMIC_SPECIES
Au 196.97 Au.upf
Mn 54.94 Mn.upf
Tc 98.00 Tc.upf
ATOMIC_POSITIONS crystal
Au 0.000 0.000 0.506
Mn 0.500 0.500 0.765
Tc 0.000 0.000 0.007
Tc 0.500 0.500 0.222
CELL_PARAMETERS angstrom
2.855 0.000 0.000
0.000 2.855 0.000
0.000 0.000 7.585

Record 19
! MnTcAu2, relaxed, DFT PBE; values from VASP
! Energy (eV for the cell shown): -24.763
! Space group: No. 166
&SYSTEM
  ibrav = 0, nat = 4, ntyp = 3
/
ATOMIC_SPECIES
Au 196.97 Au.upf
Mn 54.94 Mn.upf
Tc 98.00 Tc.upf
ATOMIC_POSITIONS crystal
Au 0.998 0.998 0.998
Au 0.502 0.502 0.502
Mn 0.250 0.250 0.250
Tc 0.750 0.750 0.750
CELL_PARAMETERS angstrom
-6.135 2.260 -6.540
-7.961 1.660 -4.404
-6.788 4.276 -4.600

Record 20
! MnTcAu2, relaxed, DFT PBE; values from VASP
! Energy (eV for the cell shown): -24.764
! Space group: No. 123
&SYSTEM
  ibrav = 0, nat = 4, ntyp = 3
/
ATOMIC_SPECIES
Au 196.97 Au.upf
Mn 54.94 Mn.upf
Tc 98.00 Tc.upf
ATOMIC_POSITIONS crystal
Au 0.000 0.000 0.000
Au 0.500 0.500 0.000
Mn 0.500 0.000 0.500
Tc 0.000 0.500 0.500
CELL_PARAMETERS angstrom
-1.765 -4.336 1.343
-0.578 -1.214 -4.681
2.575 -1.061 -0.043

Record 21
! MnTc2Au, relaxed, DFT PBE; values from VASP
! Energy (eV for the cell shown): -32.376
! Space group: No. 123
&SYSTEM
  ibrav = 0, nat = 4, ntyp = 3
/
ATOMIC_SPECIES
Au 196.97 Au.upf
Mn 54.94 Mn.upf
Tc 98.00 Tc.upf
ATOMIC_POSITIONS crystal
Au 0.500 0.000 0.500
Mn 0.000 0.500 0.500
Tc 0.000 0.000 0.000
Tc 0.500 0.500 0.000
CELL_PARAMETERS angstrom
3.804 0.000 0.000
0.000 3.804 0.000
0.000 0.000 4.098

Record 22
! MnTc2Au, relaxed, DFT PBE; values from VASP
! Energy (eV for the cell shown): -32.151
! Space group: No. 166
&SYSTEM
  ibrav = 0, nat = 4, ntyp = 3
/
ATOMIC_SPECIES
Au 196.97 Au.upf
Mn 54.94 Mn.upf
Tc 98.00 Tc.upf
ATOMIC_POSITIONS crystal
Au 0.250 0.250 0.250
Mn 0.750 0.750 0.750
Tc 0.009 0.009 0.009
Tc 0.491 0.491 0.491
CELL_PARAMETERS angstrom
-8.294 3.592 1.366
-8.081 2.153 3.689
-7.015 4.673 3.535

Record 23
! MnTcAu2, relaxed, DFT PBE; values from VASP
! Energy (eV for the cell shown): -24.863
! Space group: No. 12
&SYSTEM
  ibrav = 0, nat = 4, ntyp = 3
/
ATOMIC_SPECIES
Au 196.97 Au.upf
Mn 54.94 Mn.upf
Tc 98.00 Tc.upf
ATOMIC_POSITIONS crystal
Au 0.999 0.999 0.001
Au 0.501 0.501 0.499
Mn 0.750 0.750 0.750
Tc 0.250 0.250 0.250
CELL_PARAMETERS angstrom
4.926 0.011 -0.015
4.107 2.720 -0.015
0.811 0.245 4.840

Record 24
! MnTcAu2, relaxed, DFT PBE; values from VASP
! Energy (eV for the cell shown): -24.994
! Space group: No. 123
&SYSTEM
  ibrav = 0, nat = 4, ntyp = 3
/
ATOMIC_SPECIES
Au 196.97 Au.upf
Mn 54.94 Mn.upf
Tc 98.00 Tc.upf
ATOMIC_POSITIONS crystal
Au 0.000 0.000 0.006
Au 0.000 0.000 0.494
Mn 0.500 0.500 0.250
Tc 0.500 0.500 0.750
CELL_PARAMETERS angstrom
-1.378 0.289 2.441
-1.947 -1.836 -0.882
4.344 -6.134 3.178

Record 25
! MnTc2Au, relaxed, DFT PBE; values from VASP
! Energy (eV for the cell shown): -32.225
! Space group: No. 8
&SYSTEM
  ibrav = 0, nat = 4, ntyp = 3
/
ATOMIC_SPECIES
Au 196.97 Au.upf
Mn 54.94 Mn.upf
Tc 98.00 Tc.upf
ATOMIC_POSITIONS crystal
Au 0.497 0.497 0.514
Mn 0.745 0.745 0.751
Tc 0.005 0.005 0.013
Tc 0.252 0.252 0.222
CELL_PARAMETERS angstrom
4.743 0.004 -0.030
3.926 2.662 -0.030
0.849 0.261 4.761

Record 26
! Mn4TcAu, relaxed, DFT PBE; values from VASP
! Energy (eV for the cell shown): -49.435
! Space group: No. 216
&SYSTEM
  ibrav = 0, nat = 6, ntyp = 3
/
ATOMIC_SPECIES
Mn 54.94 Mn.upf
Tc 98.00 Tc.upf
Au 196.97 Au.upf
ATOMIC_POSITIONS crystal
Mn 0.877 0.374 0.374
Mn 0.374 0.374 0.877
Mn 0.374 0.877 0.374
Mn 0.374 0.374 0.374
Tc 0.750 0.750 0.750
Au 0.000 0.000 0.000
CELL_PARAMETERS angstrom
-4.030 2.375 0.852
-1.677 3.069 -3.221
-3.938 -1.043 -2.452

Record 27
! MnTcAu2, relaxed, DFT PBE; values from VASP
! Energy (eV for the cell shown): -23.375
! Space group: No. 225
&SYSTEM
  ibrav = 0, nat = 4, ntyp = 3
/
ATOMIC_SPECIES
Mn 54.94 Mn.upf
Au 196.97 Au.upf
Tc 98.00 Tc.upf
ATOMIC_POSITIONS crystal
Mn 0.000 0.000 0.000
Au 0.250 0.250 0.250
Au 0.750 0.750 0.750
Tc 0.500 0.500 0.500
CELL_PARAMETERS angstrom
0.000 3.141 3.141
3.141 0.000 3.141
3.141 3.141 0.000

Record 28
! MnTcAu2, relaxed, DFT PBE; values from VASP
! Energy (eV for the cell shown): -24.809
! Space group: No. 216
&SYSTEM
  ibrav = 0, nat = 4, ntyp = 3
/
ATOMIC_SPECIES
Au 196.97 Au.upf
Mn 54.94 Mn.upf
Tc 98.00 Tc.upf
ATOMIC_POSITIONS crystal
Au 0.000 0.000 0.000
Au 0.250 0.250 0.250
Mn 0.500 0.500 0.500
Tc 0.750 0.750 0.750
CELL_PARAMETERS angstrom
-3.478 1.358 -2.552
-3.812 -2.430 -0.104
-3.753 1.595 1.956

Record 29
! MnTcAu2, relaxed, DFT PBE; values from VASP
! Energy (eV for the cell shown): -25.011
! Space group: No. 10
&SYSTEM
  ibrav = 0, nat = 4, ntyp = 3
/
ATOMIC_SPECIES
Au 196.97 Au.upf
Mn 54.94 Mn.upf
Tc 98.00 Tc.upf
ATOMIC_POSITIONS crystal
Au 0.000 0.002 0.999
Au 0.000 0.498 0.501
Mn 0.500 0.250 0.250
Tc 0.500 0.750 0.750
CELL_PARAMETERS angstrom
-0.843 -3.991 0.081
2.713 -0.572 0.052
2.624 -0.437 5.760

Record 30
! TiMn2TcAu, relaxed, DFT PBE; values from VASP
! Energy (eV for the cell shown): -34.495
! Space group: No. 123
&SYSTEM
  ibrav = 0, nat = 5, ntyp = 4
/
ATOMIC_SPECIES
Mn 54.94 Mn.upf
Au 196.97 Au.upf
Tc 98.00 Tc.upf
Ti 47.87 Ti.upf
ATOMIC_POSITIONS crystal
Mn 0.000 0.000 0.500
Mn 0.500 0.000 0.000
Au 0.000 0.500 0.000
Tc 0.000 0.000 0.000
Ti 0.500 0.500 0.500
CELL_PARAMETERS angstrom
4.430 0.000 0.000
0.000 5.107 0.000
0.000 0.000 4.430